{
  "formula": "K5Ag2Hg5",
  "functional": "PBE",
  "state": "relaxed",
  "delta_e_f_ev_per_atom": -0.17,
  "sg": "C2/m, No. 12",
  "lattice_angstrom": [[8.9184, -2.4670, 0.0000], [8.9184, 2.4670, 0.0000], [-8.4021, 0.0000, 9.7241]],
  "species": ["K", "K", "K", "K", "K", "Ag", "Ag", "Hg", "Hg", "Hg", "Hg", "Hg"],
  "frac_coords": [[0.0000, 0.0000, 0.0000], [0.1114, 0.1114, 0.4203], [0.1963, 0.1963, 0.8240], [0.8037, 0.8037, 0.1760], [0.8886, 0.8886, 0.5797], [0.3535, 0.3535, 0.7418], [0.6465, 0.6465, 0.2582], [0.2578, 0.2578, 0.3220], [0.4453, 0.4453, 0.1565], [0.5000, 0.5000, 0.5000], [0.5547, 0.5547, 0.8435], [0.7422, 0.7422, 0.6780]]
}



{
  "formula": "Li3Ce2HfSe6",
  "functional": "PBE",
  "state": "relaxed",
  "dft_energy_ev_per_atom": -5.516,
  "sg": "C2/m, No. 12",
  "lattice_angstrom": [[3.5107, -6.0931, 0.0000], [3.5107, 6.0931, 0.0000], [-2.3266, 0.0000, 6.5180]],
  "species": ["Li", "Li", "Li", "Ce", "Ce", "Hf", "Se", "Se", "Se", "Se", "Se", "Se"],
  "frac_coords": [[0.0000, 0.0000, 0.0000], [0.3422, 0.6578, 0.0000], [0.6578, 0.3422, 0.0000], [0.1681, 0.8319, 0.5000], [0.8319, 0.1681, 0.5000], [0.5000, 0.5000, 0.5000], [0.1047, 0.4138, 0.2421], [0.2720, 0.2720, 0.7513], [0.4138, 0.1047, 0.2421], [0.5862, 0.8953, 0.7579], [0.7280, 0.7280, 0.2487], [0.8953, 0.5862, 0.7579]]
}



{
  "formula": "Ta2AgPt",
  "functional": "PBE",
  "state": "relaxed",
  "delta_e_f_ev_per_atom": -0.01,
  "sg": "Imm2, No. 44",
  "lattice_angstrom": [[-1.4517, 2.4691, 4.9152], [1.4517, -2.4691, 4.9152], [1.4517, 2.4691, -4.9152]],
  "species": ["Ta", "Ta", "Ag", "Pt"],
  "frac_coords": [[0.0000, 0.0000, 0.0000], [0.7540, 0.2540, 0.5000], [0.2691, 0.7691, 0.5000], [0.5198, 0.5198, 0.0000]]
}



{
  "formula": "Nd2Sm3In3",
  "functional": "PBE",
  "state": "relaxed",
  "delta_e_f_ev_per_atom": -0.36,
  "sg": "Immm, No. 71",
  "lattice_angstrom": [[-2.2590, 2.5081, 10.4564], [2.2590, -2.5081, 10.4564], [2.2590, 2.5081, -10.4564]],
  "species": ["Nd", "Nd", "Sm", "Sm", "Sm", "In", "In", "In"],
  "frac_coords": [[0.2369, 0.2369, 0.0000], [0.7631, 0.7631, 0.0000], [0.0000, 0.0000, 0.0000], [0.3817, 0.8817, 0.5000], [0.6183, 0.1183, 0.5000], [0.1229, 0.6229, 0.5000], [0.5000, 0.5000, 0.0000], [0.8771, 0.3771, 0.5000]]
}



{
  "formula": "YIn2Ag",
  "functional": "PBE",
  "state": "relaxed",
  "delta_e_f_ev_per_atom": -0.35,
  "sg": "P4/mmm, No. 123",
  "lattice_angstrom": [[4.5640, 0.0000, 0.0000], [0.0000, 4.5640, 0.0000], [0.0000, 0.0000, 4.5120]],
  "species": ["Y", "In", "In", "Ag"],
  "frac_coords": [[0.0000, 0.0000, 0.0000], [0.0000, 0.5000, 0.5000], [0.5000, 0.0000, 0.5000], [0.5000, 0.5000, 0.0000]]
}



{
  "formula": "SmTmScTl",
  "functional": "PBE",
  "state": "relaxed",
  "de_polymorph_mev_per_atom": 118,
  "delta_e_f_ev_per_atom": -0.05,
  "sg": "F-43m, No. 216",
  "lattice_angstrom": [[0.0000, 3.8038, 3.8038], [3.8038, 0.0000, 3.8038], [3.8038, 3.8038, 0.0000]],
  "species": ["Sm", "Tm", "Sc", "Tl"],
  "frac_coords": [[0.0000, 0.0000, 0.0000], [0.5000, 0.5000, 0.5000], [0.2500, 0.2500, 0.2500], [0.7500, 0.7500, 0.7500]]
}



{
  "formula": "Pm3SmY12",
  "functional": "PBE",
  "state": "relaxed",
  "delta_e_f_ev_per_atom": 0.02,
  "sg": "P4/mmm, No. 123",
  "lattice_angstrom": [[5.0753, 0.0000, 0.0000], [0.0000, 5.0753, 0.0000], [0.0000, 0.0000, 20.3118]],
  "species": ["Pm", "Pm", "Pm", "Sm", "Y", "Y", "Y", "Y", "Y", "Y", "Y", "Y", "Y", "Y", "Y", "Y"],
  "frac_coords": [[0.0000, 0.0000, 0.0000], [0.0000, 0.0000, 0.2501], [0.0000, 0.0000, 0.7499], [0.0000, 0.0000, 0.5000], [0.0000, 0.5000, 0.1251], [0.0000, 0.5000, 0.3752], [0.0000, 0.5000, 0.6248], [0.0000, 0.5000, 0.8749], [0.5000, 0.0000, 0.1251], [0.5000, 0.0000, 0.3752], [0.5000, 0.0000, 0.6248], [0.5000, 0.0000, 0.8749], [0.5000, 0.5000, 0.0000], [0.5000, 0.5000, 0.2502], [0.5000, 0.5000, 0.5000], [0.5000, 0.5000, 0.7498]]
}



{
  "formula": "FeIrBr2",
  "functional": "PBE",
  "state": "relaxed",
  "de_polymorph_mev_per_atom": 1166,
  "sg": "Fm-3m, No. 225",
  "lattice_angstrom": [[0.0000, 3.2125, 3.2125], [3.2125, 0.0000, 3.2125], [3.2125, 3.2125, 0.0000]],
  "species": ["Fe", "Ir", "Br", "Br"],
  "frac_coords": [[0.0000, 0.0000, 0.0000], [0.5000, 0.5000, 0.5000], [0.2500, 0.2500, 0.2500], [0.7500, 0.7500, 0.7500]]
}



| no. | volume (Å³ per cell) | total moment (μB/atom) |
| --- | --- | --- |
| 1 | 428 | 0.00 |
| 2 | 279 | 0.23 |
| 3 | 70 | 0.00 |
| 4 | 237 | 0.00 |
| 5 | 94 | 0.00 |
| 6 | 110 | 0.31 |
| 7 | 523 | 0.00 |
| 8 | 66 | 0.09 |